BeSiGe2 GGA-PBE relaxed; space-group type = No. 122; DOS(E_F) = 0.33 states/eV per atom; raw formation energy = 36 kJ per mole of atoms; relative energy among the computed polymorphs = 0 meV/atom
1.0
-1.449 -2.591 4.725
-3.885 -2.888 -2.775
0.749 -6.408 0.011
Ge Si Be
4 2 2
Cartesian
-1.174 -3.529 2.512 Ge
-1.518 -6.920 0.682 Ge
-4.026 -9.541 1.771 Ge
-2.452 -3.784 -1.044 Ge
0.000 0.000 0.000 Si
-1.684 -5.869 2.855 Si
-2.901 -6.018 -0.895 Be
-2.667 -2.739 0.975 Be